Entry from Alexandria: a geometry-optimized AlIr structure (PBE).

a = 7.558 Å, b = 7.558 Å, c = 7.558 Å
α = 90.00°, β = 90.00°, γ = 90.00°
Fractional coordinates of all 16 atoms:
Ir (0.627, 0.627, 0.373)
Ir (0.127, 0.127, 0.873)
Ir (0.873, 0.127, 0.127)
Ir (0.373, 0.627, 0.627)
Ir (0.627, 0.373, 0.627)
Ir (0.373, 0.373, 0.373)
Ir (0.873, 0.873, 0.873)
Ir (0.127, 0.873, 0.127)
Al (0.191, 0.809, 0.809)
Al (0.691, 0.309, 0.309)
Al (0.809, 0.809, 0.191)
Al (0.191, 0.191, 0.191)
Al (0.691, 0.691, 0.691)
Al (0.309, 0.691, 0.309)
Al (0.309, 0.309, 0.691)
Al (0.809, 0.191, 0.809)

Results
Fermi-level density of states	17.3	states/eV per cell
volume	54.0	Å³/f.u.
theoretical density	6744	kg/m3
total magnetization	0.00	μB/f.u.
raw total energy	-5.948	eV/atom
formation energy from the elements	353.7	meV/atom

---

Entry from Alexandria: a geometry-optimized AlIr structure (PBE).

a = 8.801 Å, b = 8.801 Å, c = 4.112 Å
α = 90.00°, β = 90.00°, γ = 90.00°
Fractional coordinates of all 16 atoms:
Ir (0.118, 0.594, 0.500)
Ir (0.882, 0.406, 0.500)
Ir (0.094, 0.382, 0.000)
Ir (0.406, 0.118, 0.500)
Ir (0.618, 0.094, 0.000)
Ir (0.906, 0.618, 0.000)
Ir (0.594, 0.882, 0.500)
Ir (0.382, 0.906, 0.000)
Al (0.263, 0.354, 0.500)
Al (0.354, 0.737, 0.500)
Al (0.737, 0.646, 0.500)
Al (0.763, 0.854, 0.000)
Al (0.854, 0.237, 0.000)
Al (0.237, 0.146, 0.000)
Al (0.146, 0.763, 0.000)
Al (0.646, 0.263, 0.500)

Results
Fermi-level density of states	6.0	states/eV per cell
volume	39.8	Å³/f.u.
theoretical density	9141	kg/m3
total magnetization	0.00	μB/f.u.
raw total energy	-6.630	eV/atom
formation energy from the elements	-328.1	meV/atom

---

What is the formula in the first record?
AlIr